(1)
! HfScRu2 | the Alexandria database | GGA-PBE | relaxed; values from VASP
! E_tot, eV per atom: -8.70
! ΔE to the lowest computed polymorph, eV per atom: 0.739
! N(E_F), states/eV/cell: 18.83
! DFT formation energy, eV/atom: 0.01
&SYSTEM
  ibrav = 0, nat = 16, ntyp = 3
/
ATOMIC_SPECIES
Hf 178.49 Hf.upf
Sc 44.96 Sc.upf
Ru 101.07 Ru.upf
ATOMIC_POSITIONS crystal
Hf 0.000 0.000 0.000
Hf 0.000 0.500 0.250
Hf 0.500 0.000 0.750
Hf 0.500 0.500 0.500
Sc 0.000 0.000 0.500
Sc 0.000 0.500 0.750
Sc 0.500 0.000 0.250
Sc 0.500 0.500 0.000
Ru 0.248 0.750 0.125
Ru 0.250 0.248 0.875
Ru 0.250 0.252 0.375
Ru 0.252 0.750 0.625
Ru 0.748 0.250 0.625
Ru 0.750 0.748 0.375
Ru 0.750 0.752 0.875
Ru 0.752 0.250 0.125
CELL_PARAMETERS angstrom
6.978 0.000 0.000
0.000 6.978 0.000
0.000 0.000 5.955

(2)
! HfScRu4 | the Alexandria database | GGA-PBE | relaxed; values from VASP
! E_tot, eV per atom: -9.26
! N(E_F), states/eV/cell: 5.52
! DFT formation energy, eV/atom: -0.36
&SYSTEM
  ibrav = 0, nat = 6, ntyp = 3
/
ATOMIC_SPECIES
Hf 178.49 Hf.upf
Sc 44.96 Sc.upf
Ru 101.07 Ru.upf
ATOMIC_POSITIONS crystal
Hf 0.000 0.000 0.000
Sc 0.250 0.250 0.250
Ru 0.125 0.625 0.625
Ru 0.625 0.125 0.625
Ru 0.625 0.625 0.125
Ru 0.625 0.625 0.625
CELL_PARAMETERS angstrom
0.000 3.668 3.668
3.668 0.000 3.668
3.668 3.668 0.000